ThPtSe | PBE | relaxed

Summary:
- Total magnetization: 0.00 Bohr magnetons per cell
- Offset from the most stable computed form: 0.00 eV per formula unit
- Uncorrected formation energy: -1470.5 meV/atom
- Crystal system: tetragonal
- DOS at the Fermi energy: 2.01 states/eV per cell

Lattice parameters (Å, degrees): 4.053 4.053 8.605 90.00 90.00 90.00
Element x y z (fractional)
Th: 0.500 0.000 0.752
Se: 0.000 0.500 0.875
Th: 0.000 0.500 0.248
Pt: 0.500 0.500 0.500
Pt: 0.000 0.000 0.500
Se: 0.500 0.000 0.125

***

Th3PtSe2 | PBE | relaxed

Summary:
- Total magnetization: 0.00 Bohr magnetons per cell
- Uncorrected formation energy: -1428.3 meV/atom
- Crystal system: monoclinic
- DOS at the Fermi energy: 11.44 states/eV per cell

Lattice parameters (Å, degrees): 7.339 7.339 7.376 99.62 99.62 119.63
Element x y z (fractional)
Th: 0.758 0.746 0.239
Th: 0.908 0.587 0.761
Se: 0.333 0.667 0.000
Th: 0.065 0.399 0.233
Th: 0.413 0.092 0.239
Se: 0.174 0.826 0.500
Se: 0.493 0.507 0.500
Pt: 0.001 0.999 0.000
Pt: 0.666 0.334 0.000
Th: 0.601 0.935 0.767
Th: 0.254 0.242 0.761
Se: 0.833 0.167 0.500

***

Th4PtSe3 | PBE | relaxed

Summary:
- Total magnetization: 0.00 Bohr magnetons per cell
- Uncorrected formation energy: -1491.0 meV/atom
- Crystal system: tetragonal
- DOS at the Fermi energy: 4.23 states/eV per cell

Lattice parameters (Å, degrees): 5.968 5.968 7.319 114.06 114.06 90.00
Element x y z (fractional)
Se: 0.250 0.750 0.500
Pt: 0.000 0.000 0.000
Th: 0.000 0.500 0.000
Se: 0.750 0.250 0.500
Se: 0.500 0.500 0.000
Th: 0.754 0.754 0.509
Th: 0.246 0.246 0.491
Th: 0.500 0.000 0.000

***

Th2PtSe | PBE | relaxed

Summary:
- Total magnetization: 0.00 Bohr magnetons per cell
- Offset from the most stable computed form: 0.00 eV per formula unit
- Uncorrected formation energy: -1355.5 meV/atom
- Crystal system: trigonal
- DOS at the Fermi energy: 2.85 states/eV per cell

Lattice parameters (Å, degrees): 4.170 4.170 7.633 74.15 74.15 60.00
Element x y z (fractional)
Th: 0.744 0.744 0.769
Th: 0.256 0.256 0.231
Se: 0.500 0.500 0.500
Pt: 0.000 0.000 0.000

***

Th2PtSe | PBE | relaxed

Summary:
- Total magnetization: 0.00 Bohr magnetons per cell
- Offset from the most stable computed form: 0.24 eV per formula unit
- Uncorrected formation energy: -1296.2 meV/atom
- Crystal system: trigonal
- DOS at the Fermi energy: 2.21 states/eV per cell

Lattice parameters (Å, degrees): 4.097 4.097 7.963 75.09 75.09 60.00
Element x y z (fractional)
Se: 0.499 0.499 0.503
Pt: 0.668 0.668 0.996
Th: 0.258 0.258 0.225
Th: 0.075 0.075 0.775

***

Th2PtSe | PBE | relaxed

Summary:
- Total magnetization: 0.00 Bohr magnetons per cell
- Offset from the most stable computed form: 0.07 eV per formula unit
- Uncorrected formation energy: -1337.6 meV/atom
- Crystal system: trigonal
- DOS at the Fermi energy: 2.43 states/eV per cell

Lattice parameters (Å, degrees): 4.066 4.066 7.499 90.00 90.00 60.00
Element x y z (fractional)
Se: 0.000 0.000 0.500
Th: 0.333 0.333 0.764
Th: 0.667 0.667 0.236
Pt: 0.000 0.000 0.000

***

ThPtSe | PBE | relaxed

Summary:
- Total magnetization: 0.00 Bohr magnetons per cell
- Offset from the most stable computed form: 0.56 eV per formula unit
- Uncorrected formation energy: -1283.1 meV/atom
- Crystal system: trigonal
- DOS at the Fermi energy: 5.49 states/eV per cell

Lattice parameters (Å, degrees): 4.654 4.654 8.501 74.11 74.11 60.00
Element x y z (fractional)
Pt: 0.833 0.833 0.500
Th: 0.425 0.425 0.725
Se: 0.293 0.293 0.122
Pt: 0.167 0.167 0.500
Th: 0.575 0.575 0.275
Se: 0.707 0.707 0.878

***

TiPt2Se | PBE | relaxed

Summary:
- Total magnetization: 0.00 Bohr magnetons per cell
- Uncorrected formation energy: -114.8 meV/atom
- Crystal system: tetragonal
- DOS at the Fermi energy: 6.60 states/eV per cell

Lattice parameters (Å, degrees): 5.887 5.887 6.752 64.15 64.15 90.00
Element x y z (fractional)
Ti: 0.250 0.750 0.500
Pt: 0.625 0.125 0.250
Se: 0.000 0.000 0.000
Pt: 0.375 0.375 0.750
Ti: 0.500 0.500 0.000
Se: 0.750 0.250 0.500
Pt: 0.125 0.625 0.250
Pt: 0.875 0.875 0.750

***

Question: What is the total magnetization in the seventh record?
Answer: 0.00 Bohr magnetons per cell

***

Question: What is the uncorrected formation energy in the sixth record?
Answer: -1337.6 meV/atom

***

Question: Which of these has the lowest uncorrected formation energy?
Answer: Th4PtSe3